First-principles (PBE) data for a geometry-optimized CsNbCo2Pt structure, as listed in the Alexandria database.

Lattice parameters (Å, degrees): 4.928 4.975 4.928 90.00 90.00 90.00
Last column: magnetic moment on the atom in μB.
Fractional positions:
Cs  0.500  0.500  0.500  0.01
Nb  0.000  0.500  0.000  1.07
Co  0.000  0.000  0.500  2.32
Co  0.500  0.000  0.000  1.59
Pt  0.000  0.000  0.000  0.20

Calculated values
- mass density (Mg/m³) = 7.40
- formation enthalpy at 0 K (eV per atom) = 1.192
- VASP energy (eV/atom) = -5.043
- magnetization (μB per formula unit) = 5.3

First-principles (PBE) data for a geometry-optimized CsNbCoRh2 structure, as listed in the Alexandria database.

Lattice parameters (Å, degrees): 4.771 6.042 4.771 90.00 90.00 90.00
Last column: magnetic moment on the atom in μB.
Fractional positions:
Cs  0.000  0.500  0.000  0.01
Co  0.500  0.500  0.500  2.09
Nb  0.000  0.000  0.000  -0.01
Rh  0.000  0.000  0.500  -0.01
Rh  0.500  0.000  0.000  -0.01

Calculated values
- mass density (Mg/m³) = 5.92
- formation enthalpy at 0 K (eV per atom) = 1.691
- VASP energy (eV/atom) = -4.855
- magnetization (μB per formula unit) = 2.1

First-principles (PBE) data for a geometry-optimized Cs2NbCoS4 structure, as listed in the Alexandria database.

Lattice parameters (Å, degrees): 5.648 7.671 13.042 85.43 77.49 68.40
Last column: magnetic moment on the atom in μB.
Fractional positions:
Cs  0.175  0.000  0.649  0.00
Cs  0.825  0.000  0.351  0.00
Cs  0.575  0.500  0.851  0.00
Cs  0.925  0.500  0.149  0.00
Nb  0.750  0.500  0.500  -0.17
Nb  0.000  0.000  0.000  -0.17
Co  0.250  0.500  0.500  1.65
Co  0.500  0.000  0.000  1.65
S  0.298  0.820  0.100  0.07
S  0.218  0.180  0.900  0.07
S  0.882  0.820  0.900  0.07
S  0.602  0.180  0.100  0.07
S  0.452  0.680  0.400  0.07
S  0.532  0.320  0.600  0.07
S  0.868  0.680  0.600  0.07
S  0.148  0.320  0.400  0.07

Calculated values
- mass density (Mg/m³) = 3.53
- VASP energy (eV/atom) = -5.482
- magnetization (μB per formula unit) = 2.0

First-principles (PBE) data for a geometry-optimized Cs2NbTlCo structure, as listed in the Alexandria database.

Lattice parameters (Å, degrees): 5.979 5.287 5.979 90.00 90.00 90.00
Last column: magnetic moment on the atom in μB.
Fractional positions:
Cs  0.000  0.000  0.500  0.04
Cs  0.500  0.000  0.000  0.07
Tl  0.000  0.500  0.000  -0.04
Co  0.000  0.000  0.000  1.45
Nb  0.500  0.500  0.500  3.25

Calculated values
- mass density (Mg/m³) = 5.46
- formation enthalpy at 0 K (eV per atom) = 1.444
- VASP energy (eV/atom) = -2.806
- magnetization (μB per formula unit) = 6.3

- Look up the magnetization of the second one.
  2.1 μB per formula unit

- The lowest magnetization belongs to which entry?
  Cs2NbCoS4

- VASP energy of number 4 (Cs2NbTlCo)?
  -2.806 eV/atom